1.
# Zr2Nb4Ni3C3 | OQMD | GGA-PBE | relaxed
data_Zr2Nb4Ni3C3
_chemical_formula_sum 'Zr8 Nb16 Ni12 C12'
_space_group_name_H-M_alt 'C 1 2/c 1'
_space_group_IT_number 15
_cell_length_a 9.438
_cell_length_b 5.445
_cell_length_c 13.595
_cell_angle_alpha 90.00
_cell_angle_beta 103.94
_cell_angle_gamma 90.00
loop_
_space_group_symop_operation_xyz
'x,y,z'
'-x,-y,-z'
'-x,y,-z+1/2'
'x,-y,z+1/2'
'x+1/2,y+1/2,z'
'-x+1/2,-y+1/2,-z'
'-x+1/2,y+1/2,-z+1/2'
'x+1/2,-y+1/2,z+1/2'
loop_
_atom_site_label
_atom_site_type_symbol
_atom_site_fract_x
_atom_site_fract_y
_atom_site_fract_z
Zr1 Zr 0.042 0.082 0.385
Nb1 Nb 0.114 0.411 0.589
Nb2 Nb 0.222 0.419 0.911
Ni1 Ni 0.000 0.426 0.750
Ni2 Ni 0.243 0.156 0.750
C1 C 0.083 0.249 0.000
C2 C 0.250 0.250 0.500
# Total energy: -427.56 eV per cell
# Total magnetic moment: 0.211 Bohr magnetons per cell
# Theoretical density: 7.51 Mg/m³

***

2.
# ZrNbCO | OQMD | GGA-PBE | relaxed
data_ZrNbCO
_chemical_formula_sum 'Zr6 Nb6 C6 O6'
_space_group_name_H-M_alt 'R -3 m'
_space_group_IT_number 166
_space_group_name_Hall '-R 3 2"'
_cell_length_a 3.3438
_cell_length_b 3.3438
_cell_length_c 32.9540
_cell_angle_alpha 90.00
_cell_angle_beta 90.00
_cell_angle_gamma 120.00
loop_
_atom_site_label
_atom_site_type_symbol
_atom_site_fract_x
_atom_site_fract_y
_atom_site_fract_z
Zr1 Zr 0.0000 0.0000 0.2422
Nb1 Nb 0.0000 0.0000 0.0000
Nb2 Nb 0.0000 0.0000 0.5000
C1 C 0.0000 0.0000 0.1280
O1 O 0.0000 0.0000 0.3067
# Total energy: -226.91 eV per cell
# Total magnetic moment: 3.314 Bohr magnetons per cell
# Theoretical density: 6.62 Mg/m³

***

3.
# Nb3PC2 | OQMD | GGA-PBE | relaxed
data_Nb3PC2
_chemical_formula_sum 'Nb6 P2 C4'
_space_group_name_H-M_alt 'P 63/m m c'
_space_group_IT_number 194
_space_group_name_Hall '-P 6c 2c'
_cell_length_a 3.2248
_cell_length_b 3.2248
_cell_length_c 17.1858
_cell_angle_alpha 90.00
_cell_angle_beta 90.00
_cell_angle_gamma 120.00
loop_
_atom_site_label
_atom_site_type_symbol
_atom_site_fract_x
_atom_site_fract_y
_atom_site_fract_z
Nb1 Nb 0.0000 0.0000 0.0000
Nb2 Nb 0.3333 0.6667 0.1475
P1 P 0.0000 0.0000 0.2500
C1 C 0.3333 0.6667 0.5753
# Total energy: -115.72 eV per cell
# Total magnetic moment: 0.002 Bohr magnetons per cell
# Theoretical density: 7.16 Mg/m³

***

4.
# NbP2C | OQMD | GGA-PBE | relaxed
data_NbP2C
_chemical_formula_sum 'Nb2 P4 C2'
_space_group_name_H-M_alt 'P 63/m m c'
_space_group_IT_number 194
_space_group_name_Hall '-P 6c 2c'
_cell_length_a 2.9470
_cell_length_b 2.9470
_cell_length_c 13.0609
_cell_angle_alpha 90.00
_cell_angle_beta 90.00
_cell_angle_gamma 120.00
loop_
_atom_site_label
_atom_site_type_symbol
_atom_site_fract_x
_atom_site_fract_y
_atom_site_fract_z
Nb1 Nb 0.3333 0.6667 0.2500
P1 P 0.3333 0.6667 0.5964
C1 C 0.0000 0.0000 0.0000
# Total energy: -55.62 eV per cell
# Total magnetic moment: 0.011 Bohr magnetons per cell
# Theoretical density: 5.64 Mg/m³

***

5.
# Nb4PC2S | OQMD | GGA-PBE | relaxed
data_Nb4PC2S
_chemical_formula_sum 'Nb4 P1 C2 S1'
_space_group_name_H-M_alt 'P -6 m 2'
_space_group_IT_number 187
_space_group_name_Hall 'P -6 2'
_cell_length_a 3.3123
_cell_length_b 3.3123
_cell_length_c 11.6829
_cell_angle_alpha 90.00
_cell_angle_beta 90.00
_cell_angle_gamma 120.00
loop_
_atom_site_label
_atom_site_type_symbol
_atom_site_fract_x
_atom_site_fract_y
_atom_site_fract_z
Nb1 Nb 0.0000 0.0000 0.1493
Nb2 Nb 0.6667 0.3333 0.3448
P1 P 0.6667 0.3333 0.0000
C1 C 0.3333 0.6667 0.2498
S1 S 0.0000 0.0000 0.5000
# Total energy: -74.42 eV per cell
# Total magnetic moment: 0.007 Bohr magnetons per cell
# Theoretical density: 6.86 Mg/m³

***

6.
# Nb4SbPC2 | OQMD | GGA-PBE | relaxed
data_Nb4SbPC2
_chemical_formula_sum 'Nb4 Sb1 P1 C2'
_space_group_name_H-M_alt 'P -6 m 2'
_space_group_IT_number 187
_space_group_name_Hall 'P -6 2'
_cell_length_a 3.3282
_cell_length_b 3.3282
_cell_length_c 12.4682
_cell_angle_alpha 90.00
_cell_angle_beta 90.00
_cell_angle_gamma 120.00
loop_
_atom_site_label
_atom_site_type_symbol
_atom_site_fract_x
_atom_site_fract_y
_atom_site_fract_z
Nb1 Nb 0.0000 0.0000 0.1388
Nb2 Nb 0.6667 0.3333 0.3223
Sb1 Sb 0.0000 0.0000 0.5000
P1 P 0.6667 0.3333 0.0000
C1 C 0.3333 0.6667 0.2350
# Total energy: -72.99 eV per cell
# Total magnetic moment: 0.003 Bohr magnetons per cell
# Theoretical density: 7.61 Mg/m³

***

7.
# Nb4SbPC2 | OQMD | GGA-PBE | relaxed
data_Nb4SbPC2
_chemical_formula_sum 'Nb4 Sb1 P1 C2'
_space_group_name_H-M_alt 'P -6 m 2'
_space_group_IT_number 187
_space_group_name_Hall 'P -6 2'
_cell_length_a 3.3282
_cell_length_b 3.3282
_cell_length_c 12.4682
_cell_angle_alpha 90.00
_cell_angle_beta 90.00
_cell_angle_gamma 120.00
loop_
_atom_site_label
_atom_site_type_symbol
_atom_site_fract_x
_atom_site_fract_y
_atom_site_fract_z
Nb1 Nb 0.0000 0.0000 0.1388
Nb2 Nb 0.3333 0.6667 0.3223
Sb1 Sb 0.0000 0.0000 0.5000
P1 P 0.3333 0.6667 0.0000
C1 C 0.6667 0.3333 0.2350
# Total energy: -72.99 eV per cell
# Total magnetic moment: 0.003 Bohr magnetons per cell
# Theoretical density: 7.61 Mg/m³

***

8.
# Sc4Nb2P3C3 | OQMD | GGA-PBE | relaxed
data_Sc4Nb2P3C3
_chemical_formula_sum 'Sc16 Nb8 P12 C12'
_space_group_name_H-M_alt 'C 1 2/c 1'
_space_group_IT_number 15
_cell_length_a 10.093
_cell_length_b 5.843
_cell_length_c 12.512
_cell_angle_alpha 90.00
_cell_angle_beta 105.80
_cell_angle_gamma 90.00
loop_
_space_group_symop_operation_xyz
'x,y,z'
'-x,-y,-z'
'-x,y,-z+1/2'
'x,-y,z+1/2'
'x+1/2,y+1/2,z'
'-x+1/2,-y+1/2,-z'
'-x+1/2,y+1/2,-z+1/2'
'x+1/2,-y+1/2,z+1/2'
loop_
_atom_site_label
_atom_site_type_symbol
_atom_site_fract_x
_atom_site_fract_y
_atom_site_fract_z
Sc1 Sc 0.119 0.080 0.107
Sc2 Sc 0.212 0.086 0.393
Nb1 Nb 0.053 0.415 0.903
P1 P 0.000 0.095 0.750
P2 P 0.161 0.422 0.250
C1 C 0.077 0.268 0.500
C2 C 0.250 0.250 0.000
# Total energy: -398.68 eV per cell
# Total magnetic moment: 0.007 Bohr magnetons per cell
# Theoretical density: 4.63 Mg/m³